# TmNiSbRu | Alexandria | PBE | relaxed
# Space group = F-43m
# Formation energy without anion corrections = -381 meV per atom
data_TmNiSbRu
_chemical_formula_sum 'Tm1 Ni1 Sb1 Ru1'
_space_group_name_H-M_alt 'P 1'
_space_group_IT_number 1
_space_group_name_Hall 'P 1'
_cell_length_a 4.599
_cell_length_b 4.599
_cell_length_c 4.599
_cell_angle_alpha 60.00
_cell_angle_beta 60.00
_cell_angle_gamma 60.00
loop_
_atom_site_label
_atom_site_type_symbol
_atom_site_fract_x
_atom_site_fract_y
_atom_site_fract_z
Tm1 Tm 0.000 0.000 0.000
Ni1 Ni 0.250 0.250 0.250
Sb1 Sb 0.500 0.500 0.500
Ru1 Ru 0.750 0.750 0.750


# ReSi2Ir | Alexandria | PBE | relaxed
# Space group = Pmmm
# Relative energy among the computed polymorphs = 24.18 kJ per mole of atoms
# Formation energy without anion corrections = -132 meV per atom
data_ReSi2Ir
_chemical_formula_sum 'Re1 Si2 Ir1'
_space_group_name_H-M_alt 'P 1'
_space_group_IT_number 1
_space_group_name_Hall 'P 1'
_cell_length_a 2.868
_cell_length_b 3.802
_cell_length_c 5.199
_cell_angle_alpha 90.00
_cell_angle_beta 90.00
_cell_angle_gamma 90.00
loop_
_atom_site_label
_atom_site_type_symbol
_atom_site_fract_x
_atom_site_fract_y
_atom_site_fract_z
Re1 Re 0.000 0.000 0.000
Si1 Si 0.500 0.500 0.227
Si2 Si 0.500 0.500 0.773
Ir1 Ir 0.500 0.000 0.500


# CoMoRu2 | Alexandria | PBE | relaxed
# Space group = P4mm
# Relative energy among the computed polymorphs = 10.41 kJ per mole of atoms
# Formation enthalpy at 0 K = 0.45 eV per formula unit
data_CoMoRu2
_chemical_formula_sum 'Co1 Mo1 Ru2'
_space_group_name_H-M_alt 'P 1'
_space_group_IT_number 1
_space_group_name_Hall 'P 1'
_cell_length_a 2.688
_cell_length_b 2.688
_cell_length_c 7.535
_cell_angle_alpha 90.00
_cell_angle_beta 90.00
_cell_angle_gamma 90.00
loop_
_atom_site_label
_atom_site_type_symbol
_atom_site_fract_x
_atom_site_fract_y
_atom_site_fract_z
Co1 Co 0.000 0.000 0.000
Mo1 Mo 0.500 0.500 0.236
Ru1 Ru 0.000 0.000 0.516
Ru2 Ru 0.500 0.500 0.759


# MgTl2Hg4 | Alexandria | PBE | relaxed
# Space group = I4/mmm
# Relative energy among the computed polymorphs = 0.00 kJ per mole of atoms
# Formation enthalpy at 0 K = -0.28 eV per formula unit
data_MgTl2Hg4
_chemical_formula_sum 'Mg1 Tl2 Hg4'
_space_group_name_H-M_alt 'P 1'
_space_group_IT_number 1
_space_group_name_Hall 'P 1'
_cell_length_a 8.944
_cell_length_b 8.944
_cell_length_c 8.944
_cell_angle_alpha 148.76
_cell_angle_beta 148.76
_cell_angle_gamma 44.76
loop_
_atom_site_label
_atom_site_type_symbol
_atom_site_fract_x
_atom_site_fract_y
_atom_site_fract_z
Mg1 Mg 0.000 0.000 0.000
Tl1 Tl 0.244 0.244 0.000
Tl2 Tl 0.756 0.756 0.000
Hg1 Hg 0.102 0.602 0.500
Hg2 Hg 0.398 0.898 0.500
Hg3 Hg 0.602 0.102 0.500
Hg4 Hg 0.898 0.398 0.500


# LiCePuPt | Alexandria | PBE | relaxed
# Space group = F-43m
# Formation enthalpy at 0 K = -1.41 eV per formula unit
data_LiCePuPt
_chemical_formula_sum 'Li1 Ce1 Pu1 Pt1'
_space_group_name_H-M_alt 'P 1'
_space_group_IT_number 1
_space_group_name_Hall 'P 1'
_cell_length_a 5.014
_cell_length_b 5.014
_cell_length_c 5.014
_cell_angle_alpha 60.00
_cell_angle_beta 60.00
_cell_angle_gamma 60.00
loop_
_atom_site_label
_atom_site_type_symbol
_atom_site_fract_x
_atom_site_fract_y
_atom_site_fract_z
Li1 Li 0.000 0.000 0.000
Ce1 Ce 0.750 0.750 0.750
Pu1 Pu 0.250 0.250 0.250
Pt1 Pt 0.500 0.500 0.500


# Ta5Be2P | Alexandria | PBE | relaxed
# Space group = I4/mcm
# Formation enthalpy at 0 K = -3.61 eV per formula unit
data_Ta5Be2P
_chemical_formula_sum 'Ta10 Be4 P2'
_space_group_name_H-M_alt 'P 1'
_space_group_IT_number 1
_space_group_name_Hall 'P 1'
_cell_length_a 7.376
_cell_length_b 7.376
_cell_length_c 7.376
_cell_angle_alpha 129.09
_cell_angle_beta 129.09
_cell_angle_gamma 74.87
loop_
_atom_site_label
_atom_site_type_symbol
_atom_site_fract_x
_atom_site_fract_y
_atom_site_fract_z
Ta1 Ta 0.000 0.000 0.000
Ta2 Ta 0.023 0.523 0.837
Ta3 Ta 0.186 0.023 0.500
Ta4 Ta 0.314 0.814 0.837
Ta5 Ta 0.477 0.314 0.500
Ta6 Ta 0.500 0.500 0.000
Ta7 Ta 0.523 0.686 0.500
Ta8 Ta 0.686 0.186 0.163
Ta9 Ta 0.814 0.977 0.500
Ta10 Ta 0.977 0.477 0.163
Be1 Be 0.122 0.378 0.500
Be2 Be 0.378 0.878 0.256
Be3 Be 0.622 0.122 0.744
Be4 Be 0.878 0.622 0.500
P1 P 0.250 0.250 0.000
P2 P 0.750 0.750 0.000


# AlPPtS2 | Alexandria | PBE | relaxed
# Space group = P4/mmm
# Relative energy among the computed polymorphs = 0.00 kJ per mole of atoms
# Formation energy without anion corrections = 562 meV per atom
data_AlPPtS2
_chemical_formula_sum 'Al1 P1 Pt1 S2'
_space_group_name_H-M_alt 'P 1'
_space_group_IT_number 1
_space_group_name_Hall 'P 1'
_cell_length_a 5.000
_cell_length_b 5.000
_cell_length_c 4.373
_cell_angle_alpha 90.00
_cell_angle_beta 90.00
_cell_angle_gamma 90.00
loop_
_atom_site_label
_atom_site_type_symbol
_atom_site_fract_x
_atom_site_fract_y
_atom_site_fract_z
Al1 Al 0.000 0.000 0.000
P1 P 0.500 0.500 0.000
Pt1 Pt 0.500 0.500 0.500
S1 S 0.000 0.500 0.500
S2 S 0.500 0.000 0.500


# ErGaIr2 | Alexandria | PBE | relaxed
# Space group = P4/mmm
# Formation enthalpy at 0 K = -2.61 eV per formula unit
data_ErGaIr2
_chemical_formula_sum 'Er1 Ga1 Ir2'
_space_group_name_H-M_alt 'P 1'
_space_group_IT_number 1
_space_group_name_Hall 'P 1'
_cell_length_a 4.312
_cell_length_b 4.312
_cell_length_c 3.605
_cell_angle_alpha 90.00
_cell_angle_beta 90.00
_cell_angle_gamma 90.00
loop_
_atom_site_label
_atom_site_type_symbol
_atom_site_fract_x
_atom_site_fract_y
_atom_site_fract_z
Er1 Er 0.000 0.000 0.000
Ga1 Ga 0.500 0.500 0.000
Ir1 Ir 0.000 0.500 0.500
Ir2 Ir 0.500 0.000 0.500